Compound: KBSbTe2
Source: Alexandria
Functional: PBE
Structure: relaxed

Unit cell a=5.4430 b=5.4430 c=4.5890 alpha=90.00 beta=90.00 gamma=90.00
Fractional positions:
K1 0.0000 0.0000 0.0000
B1 0.5000 0.5000 0.5000
Sb1 0.5000 0.5000 0.0000
Te1 0.0000 0.5000 0.5000
Te2 0.5000 0.0000 0.5000

Calculated values
For the calculated volume, the calculation gives 136.0 Å³/cell. As for the total moment: 0.000 μB per atom. The calculation puts the calculated total energy at -16.50 eV per cell. As for the formation energy from raw total energies: 0.337 eV per atom. The excess energy over the best structure of this formula in the dataset comes out at 0 meV per atom.